[1]
First-principles (PBE) data for crystalline Ti3HgH at its relaxed geometry, as listed in Alexandria via LeMat-Bulk.

a b c (Å): 7.475 5.165 9.823
angles (deg): 90.00 129.31 90.00
Fractional coordinates of all 20 atoms:
Ti (0.076, 0.068, 0.294)
Ti (0.076, 0.432, 0.794)
Ti (0.347, 0.223, 0.682)
Ti (0.347, 0.277, 0.182)
Ti (0.419, 0.740, 0.454)
Ti (0.419, 0.760, 0.954)
Ti (0.581, 0.240, 0.046)
Ti (0.581, 0.260, 0.546)
Ti (0.653, 0.723, 0.818)
Ti (0.653, 0.777, 0.318)
Ti (0.924, 0.568, 0.206)
Ti (0.924, 0.932, 0.706)
Hg (0.149, 0.729, 0.570)
Hg (0.149, 0.771, 0.070)
Hg (0.851, 0.229, 0.930)
Hg (0.851, 0.271, 0.430)
H (0.268, 0.121, 0.836)
H (0.268, 0.379, 0.336)
H (0.732, 0.621, 0.664)
H (0.732, 0.879, 0.164)

Computed properties:
crystal system	monoclinic
E_tot	-0.406	Ry/atom
relative energy among the computed polymorphs	0.158	eV per atom
space group	P2_1/c (14)



[2]
First-principles (PBE) data for crystalline Ti3HgH at its relaxed geometry, as listed in Alexandria via LeMat-Bulk.

a b c (Å): 5.312 7.849 7.333
angles (deg): 90.00 90.00 90.00
Fractional coordinates of all 20 atoms:
Ti (0.000, 0.097, 0.133)
Ti (0.000, 0.403, 0.133)
Ti (0.000, 0.597, 0.867)
Ti (0.000, 0.903, 0.867)
Ti (0.249, 0.250, 0.750)
Ti (0.251, 0.750, 0.250)
Ti (0.500, 0.097, 0.367)
Ti (0.500, 0.403, 0.367)
Ti (0.500, 0.597, 0.633)
Ti (0.500, 0.903, 0.633)
Ti (0.749, 0.250, 0.750)
Ti (0.751, 0.750, 0.250)
Hg (0.000, 0.000, 0.500)
Hg (0.000, 0.500, 0.500)
Hg (0.500, 0.000, 0.000)
Hg (0.500, 0.500, 0.000)
H (0.001, 0.750, 0.064)
H (0.499, 0.250, 0.564)
H (0.501, 0.750, 0.436)
H (0.999, 0.250, 0.936)

Computed properties:
crystal system	orthorhombic
E_tot	-0.397	Ry/atom
relative energy among the computed polymorphs	0.280	eV per atom
space group	Pnma (62)



[3]
First-principles (PBE) data for crystalline Ti3HgH at its relaxed geometry, as listed in Alexandria via LeMat-Bulk.

a b c (Å): 7.778 7.778 7.778
angles (deg): 60.00 60.00 60.00
Fractional coordinates of all 20 atoms:
Ti (0.060, 0.060, 0.690)
Ti (0.060, 0.690, 0.060)
Ti (0.060, 0.690, 0.690)
Ti (0.310, 0.310, 0.940)
Ti (0.310, 0.940, 0.310)
Ti (0.310, 0.940, 0.940)
Ti (0.690, 0.060, 0.060)
Ti (0.690, 0.060, 0.690)
Ti (0.690, 0.690, 0.060)
Ti (0.940, 0.310, 0.310)
Ti (0.940, 0.310, 0.940)
Ti (0.940, 0.940, 0.310)
Hg (0.000, 0.500, 0.500)
Hg (0.500, 0.000, 0.500)
Hg (0.500, 0.500, 0.000)
Hg (0.500, 0.500, 0.500)
H (0.000, 0.000, 0.000)
H (0.000, 0.000, 0.500)
H (0.000, 0.500, 0.000)
H (0.500, 0.000, 0.000)

Computed properties:
crystal system	cubic
E_tot	-0.389	Ry/atom
relative energy among the computed polymorphs	0.397	eV per atom
space group	Fd-3m (227)



[4]
First-principles (PBE) data for crystalline TiHg3H at its relaxed geometry, as listed in Alexandria via LeMat-Bulk.

a b c (Å): 4.480 4.480 4.480
angles (deg): 90.00 90.00 90.00
Fractional coordinates of all 5 atoms:
Ti (0.000, 0.000, 0.000)
Hg (0.000, 0.500, 0.500)
Hg (0.500, 0.000, 0.500)
Hg (0.500, 0.500, 0.000)
H (0.500, 0.500, 0.500)

Computed properties:
crystal system	cubic
E_tot	-0.143	Ry/atom
space group	Pm-3m (221)



[5]
First-principles (PBE) data for crystalline TiHg2H2 at its relaxed geometry, as listed in Alexandria via LeMat-Bulk.

a b c (Å): 5.887 5.887 4.228
angles (deg): 90.00 90.00 90.00
Fractional coordinates of all 10 atoms:
Ti (0.000, 0.000, 0.000)
Ti (0.500, 0.500, 0.000)
Hg (0.249, 0.251, 0.500)
Hg (0.251, 0.751, 0.500)
Hg (0.749, 0.249, 0.500)
Hg (0.751, 0.749, 0.500)
H (0.249, 0.251, 0.000)
H (0.251, 0.751, 0.000)
H (0.749, 0.249, 0.000)
H (0.751, 0.749, 0.000)

Computed properties:
crystal system	tetragonal
E_tot	-0.212	Ry/atom
space group	P4/mbm (127)



[6]
First-principles (PBE) data for crystalline Ti3HgH at its relaxed geometry, as listed in Alexandria via LeMat-Bulk.

a b c (Å): 11.280 11.280 11.280
angles (deg): 157.06 157.06 32.67
Fractional coordinates of all 10 atoms:
Ti (0.180, 0.180, 0.000)
Ti (0.367, 0.623, 0.744)
Ti (0.377, 0.120, 0.744)
Ti (0.377, 0.633, 0.256)
Ti (0.820, 0.820, 0.000)
Ti (0.880, 0.623, 0.256)
Hg (0.250, 0.750, 0.500)
Hg (0.500, 0.500, 0.000)
H (0.643, 0.143, 0.500)
H (0.857, 0.357, 0.500)

Computed properties:
crystal system	tetragonal
E_tot	-0.338	Ry/atom
relative energy among the computed polymorphs	1.087	eV per atom
space group	I-4m2 (119)